Below is crystalline KTiH2 at its relaxed geometry, with properties calculated at the PBE level.

Lattice parameters (Å, degrees): 6.204 6.204 6.204 90.00 90.00 90.00
Space group Fm-3m (No. 225)
Inequivalent atoms, fractional coordinates:
K (0.000, 0.000, 0.000) [4 per cell]
Ti (0.000, 0.000, 0.500) [4 per cell]
H (0.250, 0.250, 0.250) [8 per cell]

Magnetic moment (μB per formula unit): 2.980
Mass density (g cm⁻³): 2.5
Uncorrected energy (eV/atom): -3.134